--- P ---
Entry from Alexandria: a relaxed PdRuW2 crystal (PBE).

```
PdRuW2
1.0
-0.2584 4.2102 1.3828
-3.9467 1.7702 0.9975
-1.0296 0.8891 4.2255
Pd Ru W
1 1 2
direct
0.5000 0.5000 0.5001
0.7500 0.7500 0.7501
0.0000 0.0000 0.9999
0.2500 0.2500 0.2499
```

Output
* V: 15.46 Å³ per atom
* size of the total moment: 0.0 μB/cell
* space group: F-43m

=====

--- Q ---
Entry from Alexandria: a relaxed PdRuW2 crystal (PBE).

```
PdRuW2
1.0
-1.4252 -0.9095 2.2106
-1.9929 -1.9158 -0.3213
5.0418 -7.5818 1.8828
Ru Pd W
1 1 2
direct
0.0000 0.0000 0.0000
0.5000 0.5000 0.5000
0.7479 0.7479 0.7563
0.2521 0.2521 0.2437
```

Output
* V: 15.36 Å³ per atom
* size of the total moment: 0.0 μB/cell
* space group: R-3m

=====

Quick look at relative energies in eV/atom: P 0.163; Q 0.000.